P | HfTaB2 PBE-GGA optimized geometry; M_tot = 0.00 μB/f.u.; volume = 48.6 Å³/cell; DOS at the Fermi energy = 1.643 states/eV/cell
1.0
-3.1106 3.3187 1.6139
0.0147 -4.6448 -1.3112
0.6539 -0.8432 2.9942
B Hf Ta
2 1 1
Cartesian
-1.0328 -1.5640 1.4723
-1.7063 -0.2596 0.2995
-0.1152 -3.9021 0.6136
-2.6688 2.1931 1.2004

***

Q | HfTaB2 PBE-GGA optimized geometry; M_tot = 0.00 μB/f.u.; volume = 52.3 Å³/cell; DOS at the Fermi energy = 1.669 states/eV/cell
1.0
3.3222 0.0000 0.0000
1.6611 2.8771 0.0000
1.6611 0.9590 5.4672
B Hf Ta
2 1 1
Cartesian
1.6611 0.9590 1.2959
4.9833 2.8771 4.1713
3.3222 1.9181 2.7336
0.0000 0.0000 0.0000

***

R | HfTaB2 PBE-GGA optimized geometry; M_tot = 0.00 μB/f.u.; volume = 134.3 Å³/cell; DOS at the Fermi energy = 4.201 states/eV/cell
1.0
5.1072 0.0000 0.0000
0.0000 5.1072 0.0000
2.5536 2.5536 5.1480
B Hf Ta
4 2 2
Cartesian
3.9362 1.2768 1.2870
1.1710 3.8304 1.2870
3.8304 3.7246 3.8610
6.3840 6.4898 3.8610
2.5536 2.5536 0.0000
2.5536 5.1072 2.5740
0.0000 0.0000 0.0000
5.1072 2.5536 2.5740

***

S | HfTaB2 PBE-GGA optimized geometry; M_tot = 0.00 μB/f.u.; volume = 50.8 Å³/cell; DOS at the Fermi energy = 5.415 states/eV/cell
1.0
0.0000 2.9394 2.9394
2.9394 0.0000 2.9394
2.9394 2.9394 0.0000
B Hf Ta
2 1 1
Cartesian
1.4697 1.4697 1.4697
4.4091 4.4091 4.4091
0.0000 0.0000 0.0000
2.9394 2.9394 2.9394

***

Most stable structure - P; separation to the second - 201 meV per atom.